[1]
AlReSe2 (PBE, optimized geometry); ΔE_f (raw) = 0.7314 eV/atom; total moment = 0.00 μB/cell; crystal system = cubic; symmetry = F-43m, No. 216; calculated density = 9.13 Mg/m³
1.0
-2.425 3.132 2.279
-3.591 2.004 -1.994
-4.236 -0.973 1.412
Se Re Al
2 1 1
direct
0.250 0.250 0.250 Se
0.000 0.000 0.000 Se
0.750 0.750 0.750 Re
0.500 0.500 0.500 Al

***

[2]
Ti4AsSe (PBE, optimized geometry); ΔE_f (raw) = -0.6030 eV/atom; total moment = 0.00 μB/cell; crystal system = orthorhombic; symmetry = Cmcm, No. 63; calculated density = 5.38 Mg/m³
1.0
4.569 0.000 0.000
0.000 5.251 0.000
-2.284 0.000 8.893
Ti Se As
8 2 2
direct
0.705 0.067 0.410 Ti
0.569 0.323 0.138 Ti
0.705 0.578 0.410 Ti
0.295 0.078 0.590 Ti
0.129 0.822 0.259 Ti
0.431 0.823 0.862 Ti
0.295 0.567 0.590 Ti
0.871 0.322 0.741 Ti
0.575 0.823 0.149 Se
0.425 0.323 0.851 Se
0.160 0.322 0.319 As
0.840 0.822 0.681 As

***

[3]
NbCoSnP2 (PBE, optimized geometry); formation energy = 4.50 eV per formula unit; total moment = 2.29 μB/cell; crystal system = tetragonal; symmetry = P4/mmm, No. 123; calculated density = 4.51 Mg/m³
1.0
-1.851 4.199 1.178
0.145 -1.415 5.272
4.359 1.818 0.369
P Co Sn Nb
2 1 1 1
direct
0.500 0.000 0.000 P
0.000 0.000 0.500 P
0.500 0.500 0.500 Co
0.000 0.500 0.000 Sn
0.000 0.000 0.000 Nb

***

[4]
VFeAs2Se (PBE, optimized geometry); ΔE_f (raw) = 0.7144 eV/atom; total moment = 0.24 μB/cell; crystal system = tetragonal; symmetry = P4/mmm, No. 123; distance to the lowest polymorph of the same formula = 112 meV/atom; calculated density = 5.70 Mg/m³
1.0
-1.429 3.639 -2.065
1.752 -1.461 -3.787
-4.297 -2.310 -1.097
As Se Fe V
2 1 1 1
direct
0.000 0.500 0.000 As
0.500 0.000 0.000 As
0.000 0.000 0.500 Se
0.000 0.000 0.000 Fe
0.500 0.500 0.500 V

***

[5]
CeThNp2P4 (PBE, optimized geometry); formation energy = -9.56 eV per formula unit; total moment = 8.52 μB/cell; crystal system = monoclinic; symmetry = P2/m, No. 10; calculated density = 8.58 Mg/m³
1.0
-1.538 1.335 -3.509
-6.324 -2.436 1.846
0.704 6.601 2.203
P Th Ce Np
4 1 1 2
direct
0.000 0.756 0.263 P
0.000 0.244 0.737 P
0.500 0.253 0.262 P
0.500 0.747 0.738 P
0.500 0.500 0.000 Th
0.000 0.000 0.000 Ce
0.000 0.500 0.500 Np
0.500 0.000 0.500 Np

***

[6]
Pr5PaN5 (PBE, optimized geometry); ΔE_f (raw) = -1.2617 eV/atom; total moment = 0.42 μB/cell; crystal system = monoclinic; symmetry = C2/m, No. 12; calculated density = 8.07 Mg/m³
1.0
-0.698 2.930 4.194
-4.366 0.882 -4.521
-1.986 -5.917 3.802
N Pa Pr
5 1 5
direct
0.149 0.298 0.300 N
0.851 0.702 0.700 N
0.154 0.308 0.847 N
0.500 0.000 0.000 N
0.846 0.692 0.153 N
0.000 0.000 0.000 Pa
0.671 0.341 0.841 Pr
0.676 0.352 0.327 Pr
0.329 0.659 0.159 Pr
0.000 0.000 0.500 Pr
0.324 0.648 0.673 Pr

***

[7]
KLaCo2 (PBE, optimized geometry); formation energy = 3.41 eV per formula unit; total moment = 2.28 μB/cell; crystal system = tetragonal; symmetry = P4/mmm, No. 123; distance to the lowest polymorph of the same formula = 631 meV/atom; calculated density = 5.30 Mg/m³
1.0
5.130 0.034 -0.025
-0.029 5.130 -0.025
0.016 0.016 3.524
K La Co
1 1 2
direct
0.500 0.000 0.500 K
0.000 0.500 0.500 La
0.500 0.500 0.000 Co
0.000 0.000 0.000 Co

***

[8]
ThZn10Ni2 (PBE, optimized geometry); formation energy = -2.71 eV per formula unit; total moment = 0.00 μB/cell; crystal system = orthorhombic; symmetry = Fmmm, No. 69; distance to the lowest polymorph of the same formula = 21 meV/atom; calculated density = 8.28 Mg/m³
1.0
-0.391 3.395 -3.673
-5.259 4.176 0.995
3.563 5.655 1.422
Zn Ni Th
10 2 1
direct
0.509 0.769 0.213 Zn
0.000 0.000 0.500 Zn
0.722 0.769 0.787 Zn
0.278 0.231 0.213 Zn
0.986 0.365 0.664 Zn
0.649 0.365 0.336 Zn
0.500 0.000 0.500 Zn
0.491 0.231 0.787 Zn
0.014 0.635 0.336 Zn
0.351 0.635 0.664 Zn
0.500 0.500 0.000 Ni
0.000 0.500 0.000 Ni
0.000 0.000 0.000 Th